1.
Compound: SrMoBr2
Source: Alexandria via LeMat-Bulk
Functional: GGA-PBE
Structure: relaxed

abc: 6.213 6.213 6.005
angles: 88.52 88.52 37.29
Last column: magnetic moment on the atom in μB.
Fractional coordinates of all 4 atoms:
Sr1 0.242 0.242 0.127  0.00
Mo1 0.570 0.570 0.454  3.19
Br1 0.955 0.955 0.194  0.04
Br2 0.734 0.734 0.724  0.02

Computed properties:
The formation energy from raw total energies is -0.5 eV per formula unit. The calculation puts the density of states at the Fermi level at 1.13 states/eV per cell. As for the space-group type: Cm (8). As for the energy above the lowest structure with this stoichiometry: 0.39 eV/f.u. The value obtained for the energy is -4.10 eV per atom.

---

2.
Compound: SrMoBr2
Source: Alexandria via LeMat-Bulk
Functional: GGA-PBE
Structure: relaxed

abc: 6.040 6.040 5.734
angles: 86.43 86.43 41.53
Last column: magnetic moment on the atom in μB.
Fractional coordinates of all 4 atoms:
Sr1 0.250 0.250 0.250  0.01
Mo1 0.750 0.750 0.750  3.13
Br1 0.921 0.921 0.026  0.03
Br2 0.579 0.579 0.474  0.03

Computed properties:
The formation energy from raw total energies is -0.9 eV per formula unit. The calculation puts the density of states at the Fermi level at 0.81 states/eV per cell. As for the space-group type: C2/m (12). As for the energy above the lowest structure with this stoichiometry: 0.00 eV/f.u. The value obtained for the energy is -4.20 eV per atom.

---

3.
Compound: Sr2MoBr2
Source: Alexandria via LeMat-Bulk
Functional: GGA-PBE
Structure: relaxed

abc: 9.167 9.167 3.817
angles: 90.00 90.00 90.00
Last column: magnetic moment on the atom in μB.
Fractional coordinates of all 10 atoms:
Sr1 0.327 0.827 0.000  -0.01
Sr2 0.827 0.673 0.000  -0.01
Sr3 0.673 0.173 0.000  -0.01
Sr4 0.173 0.327 0.000  -0.01
Mo1 0.000 0.000 0.000  3.25
Mo2 0.500 0.500 0.000  3.25
Br1 0.129 0.629 0.500  0.03
Br2 0.629 0.871 0.500  0.03
Br3 0.871 0.371 0.500  0.03
Br4 0.371 0.129 0.500  0.03

Computed properties:
The formation energy from raw total energies is -0.8 eV per formula unit. The calculation puts the density of states at the Fermi level at 10.48 states/eV per cell. As for the space-group type: P4/mbm (127). As for the energy above the lowest structure with this stoichiometry: 0.68 eV/f.u. The value obtained for the energy is -3.66 eV per atom.

---

4.
Compound: SrMoBr2
Source: Alexandria via LeMat-Bulk
Functional: GGA-PBE
Structure: relaxed

abc: 5.100 5.100 4.120
angles: 90.00 90.00 90.00
Last column: magnetic moment on the atom in μB.
Fractional coordinates of all 4 atoms:
Sr1 0.000 0.500 0.500  0.01
Mo1 0.500 0.000 0.500  3.55
Br1 0.000 0.000 0.000  0.04
Br2 0.500 0.500 0.000  0.04

Computed properties:
The formation energy from raw total energies is -0.2 eV per formula unit. The calculation puts the density of states at the Fermi level at 2.52 states/eV per cell. As for the space-group type: P4/mmm (123). As for the energy above the lowest structure with this stoichiometry: 0.78 eV/f.u. The value obtained for the energy is -4.00 eV per atom.

---

> Which formula does entry 4 have?

SrMoBr2

---

> What is the formula in the third record?

Sr2MoBr2